Entry from the Alexandria database: an optimized crystal structure of Hf2HSe (GGA-PBE).

Energy above the lowest structure with this stoichiometry ... 1.645 eV per formula unit
Magnetization ... 0.000 μB/atom

Lattice parameters (Å, degrees): 4.498 4.498 4.498 60.00 60.00 60.00
Positions (direct):
Hf (0.250, 0.250, 0.250)
Hf (0.750, 0.750, 0.750)
H (0.000, 0.000, 0.000)
Se (0.500, 0.500, 0.500)